1.
The following is a DFT calculation (PBE) of crystalline Pr2Y2CI2Br3 at its relaxed geometry.

## Properties
As for the crystal system: monoclinic. The total energy is -5.277 eV per atom. For the relative energy among the computed polymorphs, the calculation gives 12 meV per atom.

Cell and atoms, written as CIF:
```
data_Pr2Y2CI2Br3
_chemical_formula_sum 'Pr4 Y4 C2 I4 Br6'
_cell_length_a 18.808
_cell_length_b 3.920
_cell_length_c 8.367
_cell_angle_alpha 90.00
_cell_angle_beta 102.39
_cell_angle_gamma 90.00
_symmetry_space_group_name_H-M 'C 1 2/m 1'
_symmetry_Int_Tables_number 12
loop_
_symmetry_equiv_pos_as_xyz
'x,y,z'
'-x,-y,-z'
'-x,y,-z'
'x,-y,z'
'x+1/2,y+1/2,z'
'-x+1/2,-y+1/2,-z'
'-x+1/2,y+1/2,-z'
'x+1/2,-y+1/2,z'
loop_
_atom_site_label
_atom_site_type_symbol
_atom_site_fract_x
_atom_site_fract_y
_atom_site_fract_z
Pr1 Pr 0.139 0.000 0.074
Y1 Y 0.001 0.500 0.802
C1 C 0.000 0.000 0.000
I1 I 0.169 0.500 0.796
Br1 Br 0.000 0.000 0.500
Br2 Br 0.152 0.500 0.347
```



2.
The following is a DFT calculation (PBE) of crystalline Li2HfAs at its relaxed geometry.

## Properties
As for the crystal system: cubic. The total energy is -4.750 eV per atom.

Cell and atoms, written as CIF:
```
data_Li2HfAs
_chemical_formula_sum 'Li8 Hf4 As4'
_cell_length_a 6.385
_cell_length_b 6.385
_cell_length_c 6.385
_cell_angle_alpha 90.00
_cell_angle_beta 90.00
_cell_angle_gamma 90.00
_symmetry_space_group_name_H-M 'F -4 3 m'
_symmetry_Int_Tables_number 216
_symmetry_space_group_name_Hall 'F -4 2 3'
loop_
_atom_site_label
_atom_site_type_symbol
_atom_site_fract_x
_atom_site_fract_y
_atom_site_fract_z
Li1 Li 0.000 0.000 0.000
Li2 Li 0.250 0.250 0.250
Hf1 Hf 0.250 0.250 0.750
As1 As 0.000 0.000 0.500
```



3.
The following is a DFT calculation (PBE) of crystalline Er5Tl3Hg at its relaxed geometry.

## Properties
As for the crystal system: hexagonal. The total energy is -3.719 eV per atom.

Cell and atoms, written as CIF:
```
data_Er5Tl3Hg
_chemical_formula_sum 'Er10 Tl6 Hg2'
_cell_length_a 9.1383
_cell_length_b 9.1383
_cell_length_c 6.7205
_cell_angle_alpha 90.00
_cell_angle_beta 90.00
_cell_angle_gamma 120.00
_symmetry_space_group_name_H-M 'P 63/m c m'
_symmetry_Int_Tables_number 193
_symmetry_space_group_name_Hall '-P 6c 2'
loop_
_atom_site_label
_atom_site_type_symbol
_atom_site_fract_x
_atom_site_fract_y
_atom_site_fract_z
Er1 Er 0.0000 0.2816 0.2500
Er2 Er 0.3333 0.6667 0.0000
Tl1 Tl 0.0000 0.3792 0.7500
Hg1 Hg 0.0000 0.0000 0.0000
```



4.
The following is a DFT calculation (PBE) of crystalline SmNi4Sn2 at its relaxed geometry.

## Properties
As for the crystal system: tetragonal. The total energy is -5.424 eV per atom.

Cell and atoms, written as CIF:
```
data_SmNi4Sn2
_chemical_formula_sum 'Sm4 Ni16 Sn8'
_cell_length_a 7.663
_cell_length_b 7.663
_cell_length_c 7.918
_cell_angle_alpha 90.00
_cell_angle_beta 90.00
_cell_angle_gamma 90.00
_symmetry_space_group_name_H-M 'I 4/m c m'
_symmetry_Int_Tables_number 140
_symmetry_space_group_name_Hall '-I 4 2c'
loop_
_atom_site_label
_atom_site_type_symbol
_atom_site_fract_x
_atom_site_fract_y
_atom_site_fract_z
Sm1 Sm 0.000 0.000 0.250
Ni1 Ni 0.140 0.360 0.166
Sn1 Sn 0.159 0.341 0.500
```